CuAg2Pd2: relaxed, PBE.

## Properties
N(E_F), states/eV per cell: 4.67
Relative energy among the computed polymorphs, meV/atom: 280.4
Energy of formation from the pure elements, eV/atom: 0.267
Total DFT energy (no corrections), eV per formula unit: -18.85

a = 6.713 Å, b = 6.713 Å, c = 3.836 Å
α = 90.00°, β = 90.00°, γ = 90.00°
Fractional positions:
Cu 0.000 0.000 0.000
Cu 0.500 0.500 0.000
Ag 0.145 0.355 0.000
Ag 0.355 0.855 0.000
Ag 0.645 0.145 0.000
Ag 0.855 0.645 0.000
Pd 0.155 0.655 0.500
Pd 0.345 0.155 0.500
Pd 0.655 0.845 0.500
Pd 0.845 0.345 0.500